Entry 1:
First-principles (PBE) data for a relaxed CuPt3 crystal, as listed in Alexandria.

## Properties
The calculation puts the total energy at -44.915 eV per cell. The value obtained for the calculated formation energy is -0.24 eV per formula unit. As for the density of states at the Fermi level: 5.2 states/eV/f.u.

```
CuPt3
1.0
5.5134 0.0000 0.0000
0.0000 4.5854 0.0000
0.0000 0.0000 4.7224
Pt Cu
6 2
Cartesian
4.1146 2.2927 3.9313 Pt
2.7567 0.0000 3.1363 Pt
1.3579 0.0000 0.7910 Pt
0.0000 2.2927 1.5860 Pt
4.1555 0.0000 0.7910 Pt
1.3988 2.2927 3.9313 Pt
0.0000 0.0000 3.1505 Cu
2.7567 2.2927 1.5718 Cu
```



Entry 2:
First-principles (PBE) data for a relaxed Rb3Tl4SnBr8 crystal, as listed in Alexandria.

## Properties
The calculation puts the total energy at -46.809 eV per cell. As for the formation energy (no corrections): -1646 kJ/mol of formula units. As for the density of states at the Fermi level: 5.1 states/eV/f.u.

```
Rb3Tl4SnBr8
1.0
9.4987 0.0000 0.0000
0.0000 9.7538 0.1808
-4.7493 -4.7393 6.7173
Br Rb Sn Tl
8 3 1 4
Cartesian
-2.5650 -2.1428 6.7385 Br
4.7493 0.0366 3.6416 Br
4.7493 4.9909 3.5258 Br
0.0000 4.9780 3.2566 Br
2.5650 -2.1428 6.7385 Br
7.3144 7.1573 0.1597 Br
0.0000 0.0236 3.3724 Br
2.1843 7.1573 0.1597 Br
-2.3747 2.5073 3.4491 Rb
4.7493 4.8769 0.0904 Rb
2.3747 2.5073 3.4491 Rb
0.0000 4.8769 0.0904 Sn
-2.3747 -2.3696 3.3587 Tl
2.3747 -2.3696 3.3587 Tl
4.7493 0.0000 0.0000 Tl
0.0000 0.0000 0.0000 Tl
```



Entry 3:
First-principles (PBE) data for a relaxed CsTbGeBr6 crystal, as listed in Alexandria.

## Properties
The calculation puts the total energy at -33.261 eV per cell. As for the formation energy (no corrections): -1266 kJ/mol of formula units. As for the density of states at the Fermi level: 0.0 states/eV/f.u.

```
CsTbGeBr6
1.0
7.3858 0.0009 0.0001
3.6937 6.3957 0.0000
0.0001 -0.0002 8.0994
Tb Br Cs Ge
1 6 1 1
Cartesian
3.6932 2.1322 4.0498 Tb
2.7875 0.0055 5.6816 Br
5.0829 3.9787 2.4176 Br
2.3035 3.9795 5.6815 Br
1.3985 2.4113 2.4177 Br
4.5981 0.0052 2.4178 Br
5.9872 2.4125 5.6817 Br
7.3858 0.0008 8.0994 Cs
7.3864 4.2643 4.0496 Ge
```



Entry 4:
First-principles (PBE) data for a relaxed HfPaTl crystal, as listed in Alexandria.

## Properties
The calculation puts the total energy at -20.951 eV per cell. The value obtained for the calculated formation energy is 0.86 eV per formula unit. Its energy above the most stable polymorph in this dataset is 0.225 eV/atom. As for the density of states at the Fermi level: 4.9 states/eV/f.u.

```
HfPaTl
1.0
-0.8450 2.9596 -0.5753
-2.9419 0.0024 4.3327
5.0180 1.4795 0.2413
Pa Tl Hf
1 1 1
Cartesian
-0.8518 2.4675 2.5854 Pa
2.2235 1.4817 1.5089 Tl
-0.1406 0.4923 -0.0957 Hf
```



Entry 5:
First-principles (PBE) data for a relaxed CaCuBi crystal, as listed in Alexandria.

## Properties
The calculation puts the total energy at -20.239 eV per cell. The value obtained for the calculated formation energy is -0.14 eV per formula unit. As for the density of states at the Fermi level: 1.6 states/eV/f.u.

```
CaCuBi
1.0
4.5094 0.0000 0.0000
0.0000 4.5094 0.0000
0.0000 0.0000 7.3632
Ca Bi Cu
2 2 2
Cartesian
0.0000 0.0000 3.6816 Ca
2.2547 2.2547 3.6816 Ca
0.0000 2.2547 1.2465 Bi
2.2547 0.0000 6.1167 Bi
2.2547 0.0000 1.5109 Cu
0.0000 2.2547 5.8523 Cu
```



Repeat the third record exactly.
First-principles (PBE) data for a relaxed CsTbGeBr6 crystal, as listed in Alexandria.

## Properties
The calculation puts the total energy at -33.261 eV per cell. As for the formation energy (no corrections): -1266 kJ/mol of formula units. As for the density of states at the Fermi level: 0.0 states/eV/f.u.

```
CsTbGeBr6
1.0
7.3858 0.0009 0.0001
3.6937 6.3957 0.0000
0.0001 -0.0002 8.0994
Tb Br Cs Ge
1 6 1 1
Cartesian
3.6932 2.1322 4.0498 Tb
2.7875 0.0055 5.6816 Br
5.0829 3.9787 2.4176 Br
2.3035 3.9795 5.6815 Br
1.3985 2.4113 2.4177 Br
4.5981 0.0052 2.4178 Br
5.9872 2.4125 5.6817 Br
7.3858 0.0008 8.0994 Cs
7.3864 4.2643 4.0496 Ge
```



What did the fifth record say?
First-principles (PBE) data for a relaxed CaCuBi crystal, as listed in Alexandria.

## Properties
The calculation puts the total energy at -20.239 eV per cell. The value obtained for the calculated formation energy is -0.14 eV per formula unit. As for the density of states at the Fermi level: 1.6 states/eV/f.u.

```
CaCuBi
1.0
4.5094 0.0000 0.0000
0.0000 4.5094 0.0000
0.0000 0.0000 7.3632
Ca Bi Cu
2 2 2
Cartesian
0.0000 0.0000 3.6816 Ca
2.2547 2.2547 3.6816 Ca
0.0000 2.2547 1.2465 Bi
2.2547 0.0000 6.1167 Bi
2.2547 0.0000 1.5109 Cu
0.0000 2.2547 5.8523 Cu
```



Please write out number 2 again, unchanged.
First-principles (PBE) data for a relaxed Rb3Tl4SnBr8 crystal, as listed in Alexandria.

## Properties
The calculation puts the total energy at -46.809 eV per cell. As for the formation energy (no corrections): -1646 kJ/mol of formula units. As for the density of states at the Fermi level: 5.1 states/eV/f.u.

```
Rb3Tl4SnBr8
1.0
9.4987 0.0000 0.0000
0.0000 9.7538 0.1808
-4.7493 -4.7393 6.7173
Br Rb Sn Tl
8 3 1 4
Cartesian
-2.5650 -2.1428 6.7385 Br
4.7493 0.0366 3.6416 Br
4.7493 4.9909 3.5258 Br
0.0000 4.9780 3.2566 Br
2.5650 -2.1428 6.7385 Br
7.3144 7.1573 0.1597 Br
0.0000 0.0236 3.3724 Br
2.1843 7.1573 0.1597 Br
-2.3747 2.5073 3.4491 Rb
4.7493 4.8769 0.0904 Rb
2.3747 2.5073 3.4491 Rb
0.0000 4.8769 0.0904 Sn
-2.3747 -2.3696 3.3587 Tl
2.3747 -2.3696 3.3587 Tl
4.7493 0.0000 0.0000 Tl
0.0000 0.0000 0.0000 Tl
```